[1]
Here is crystalline LiHg2Pb8 at its relaxed geometry from the Alexandria database. Energies are from PBE-GGA.

Crystal system = monoclinic
Calculated volume = 31.47 A^3/atom
Space-group type = C2/m, No. 12
Size of the total moment = 0.000 μB/atom
VASP energy = -2.856 eV per atom
ΔH_f (0 K) = 0.0699 eV/atom

Lattice parameters (Å, degrees): 7.4988 7.4988 7.1818 111.99 111.99 78.19
Last column: nearest neighbours and their distance in Å.
Atoms (fractional coordinates):
Li: 0.0000 0.0000 0.0000  6 Pb 2.76-2.95
Hg: 0.2533 0.2533 0.4607  7 Pb 3.13-3.39, 1 Li 3.20
Hg: 0.7467 0.7467 0.5393  7 Pb 3.13-3.39, 1 Li 3.20
Pb: 0.0937 0.5802 0.8522  1 Li 2.95, 1 Hg 3.13, 1 Pb 3.25
Pb: 0.1169 0.1169 0.7450  1 Li 2.76
Pb: 0.4198 0.9063 0.1478  1 Li 2.95, 1 Hg 3.13, 1 Pb 3.25
Pb: 0.4367 0.4367 0.2287  2 Hg 3.20-3.28, 3 Pb 3.31-3.44
Pb: 0.5633 0.5633 0.7713  2 Hg 3.20-3.28, 3 Pb 3.31-3.44
Pb: 0.5802 0.0937 0.8522  1 Li 2.95, 1 Hg 3.13, 1 Pb 3.25
Pb: 0.8831 0.8831 0.2550  1 Li 2.76
Pb: 0.9063 0.4198 0.1478  1 Li 2.95, 1 Hg 3.13, 1 Pb 3.25

[2]
Here is crystalline KZr2RePb at its relaxed geometry from the Alexandria database. Energies are from PBE-GGA.

Crystal system = tetragonal
Calculated volume = 31.30 A^3/atom
Space-group type = P4/mmm, No. 123
Size of the total moment = 0.000 μB/atom
VASP energy = -5.159 eV per atom
ΔH_f (0 K) = 1.7112 eV/atom

Lattice parameters (Å, degrees): 5.5327 5.5327 5.1130 90.00 90.00 90.00
Last column: nearest neighbours and their distance in Å.
Atoms (fractional coordinates):
K: 0.0000 0.0000 0.0000  8 Zr 3.77, 4 Re 3.91
Zr: 0.0000 0.5000 0.5000  2 Pb 2.77
Zr: 0.5000 0.0000 0.5000  2 Pb 2.77
Re: 0.5000 0.5000 0.0000  2 Pb 2.56
Pb: 0.5000 0.5000 0.5000  2 Re 2.56, 4 Zr 2.77

[3]
Here is crystalline CsHf3Mo at its relaxed geometry from the Alexandria database. Energies are from PBE-GGA.

Crystal system = cubic
Polymorph energy (0 for the lowest one) = 833.0 kJ/mol of formula units
Calculated volume = 26.72 A^3/atom
Space-group type = Pm-3m, No. 221
Size of the total moment = 0.000 μB/atom
VASP energy = -5.564 eV per atom
ΔH_f (0 K) = 2.7453 eV/atom

Lattice parameters (Å, degrees): 5.1122 5.1122 5.1122 90.00 90.00 90.00
Last column: nearest neighbours and their distance in Å.
Atoms (fractional coordinates):
Cs: 0.0000 0.0000 0.0000  6 Hf 2.56
Hf: 0.0000 0.0000 0.5000  2 Cs 2.56
Hf: 0.0000 0.5000 0.0000  2 Cs 2.56
Hf: 0.5000 0.0000 0.0000  2 Cs 2.56
Mo: 0.5000 0.5000 0.5000  12 Hf 3.61

[4]
Here is crystalline Ce4GeAsSe2 at its relaxed geometry from the Alexandria database. Energies are from PBE-GGA.

Crystal system = orthorhombic
Calculated volume = 26.68 A^3/atom
Space-group type = Imma, No. 74
Formation energy from raw total energies = -1470 meV/atom
Size of the total moment = 0.422 μB/atom
VASP energy = -6.466 eV per atom

Lattice parameters (Å, degrees): 8.4519 8.4519 8.4519 120.08 119.92 90.00
Last column: nearest neighbours and their distance in Å.
Atoms (fractional coordinates):
Ce: 0.2517 0.2483 0.0033  1 Ge 2.97, 2 As 2.97, 3 Se 3.01
Ce: 0.2515 0.2485 0.4970  1 As 2.97, 2 Ge 2.97, 3 Se 3.01
Ce: 0.2515 0.7545 0.0030  1 As 2.97, 2 Ge 2.97, 3 Se 3.01
Ce: 0.2550 0.7517 0.5033  1 Ge 2.97, 2 As 2.97, 3 Se 3.01
Ce: 0.7450 0.2483 0.4967  1 Ge 2.97, 2 As 2.97, 3 Se 3.01
Ce: 0.7485 0.2455 0.9970  1 As 2.97, 2 Ge 2.97, 3 Se 3.01
Ce: 0.7485 0.7515 0.5030  1 As 2.97, 2 Ge 2.97, 3 Se 3.01
Ce: 0.7483 0.7517 0.9967  1 Ge 2.97, 2 As 2.97, 3 Se 3.01
Ge: 0.0000 0.0000 0.0000  6 Ce 2.97
Ge: 0.5000 0.0000 0.5000  6 Ce 2.97
As: 0.5000 0.0000 0.0000  6 Ce 2.97
As: 0.5000 0.5000 0.5000  6 Ce 2.97
Se: 0.0000 0.0000 0.5000  6 Ce 3.01
Se: 0.0000 0.5000 0.0000  6 Ce 3.01
Se: 0.0000 0.5000 0.5000  6 Ce 3.01
Se: 0.5000 0.5000 0.0000  6 Ce 3.01

[5]
Here is crystalline Cd2NiRh at its relaxed geometry from the Alexandria database. Energies are from PBE-GGA.

Crystal system = orthorhombic
Calculated volume = 16.22 A^3/atom
Space-group type = Cmmm, No. 65
Size of the total moment = 0.000 μB/atom
VASP energy = -3.763 eV per atom
ΔH_f (0 K) = -0.0222 eV/atom

Lattice parameters (Å, degrees): 4.4584 4.4584 3.2646 90.00 90.00 90.07
Last column: nearest neighbours and their distance in Å.
Atoms (fractional coordinates):
Cd: 0.0000 0.5000 0.0000  4 Ni 2.76, 4 Rh 2.76
Cd: 0.5000 0.0000 0.0000  4 Ni 2.76, 4 Rh 2.76
Ni: 0.0000 0.0000 0.5000  8 Cd 2.76
Rh: 0.5000 0.5000 0.5000  8 Cd 2.76

[6]
Here is crystalline ScTePdI2 at its relaxed geometry from the Alexandria database. Energies are from PBE-GGA.

Crystal system = tetragonal
Polymorph energy (0 for the lowest one) = 44.2 kJ/mol of formula units
Calculated volume = 31.48 A^3/atom
Space-group type = P4/mmm, No. 123
Formation energy from raw total energies = 4 meV/atom
Size of the total moment = 0.132 μB/atom
VASP energy = -3.550 eV per atom

Lattice parameters (Å, degrees): 5.3478 5.3478 5.5035 90.00 90.00 90.00
Last column: nearest neighbours and their distance in Å.
Atoms (fractional coordinates):
Sc: 0.0000 0.0000 0.0000  4 Te 3.78, 8 I 3.84
Te: 0.5000 0.5000 0.0000  2 Pd 2.75
Pd: 0.5000 0.5000 0.5000  4 I 2.67, 2 Te 2.75
I: 0.0000 0.5000 0.5000  2 Pd 2.67
I: 0.5000 0.0000 0.5000  2 Pd 2.67

[7]
Here is crystalline USiTc2 at its relaxed geometry from the Alexandria database. Energies are from PBE-GGA.

Crystal system = cubic
Polymorph energy (0 for the lowest one) = 65.4 kJ/mol of formula units
Calculated volume = 16.49 A^3/atom
Space-group type = Fm-3m, No. 225
Formation energy from raw total energies = -198 meV/atom
Size of the total moment = 0.177 μB/atom
VASP energy = -9.559 eV per atom

Lattice parameters (Å, degrees): 4.5353 4.5353 4.5353 60.00 60.00 60.00
Last column: nearest neighbours and their distance in Å.
Atoms (fractional coordinates):
U: 0.0000 0.0000 0.0000  8 Tc 2.78
Si: 0.5000 0.5000 0.5000  8 Tc 2.78
Tc: 0.2500 0.2500 0.2500  4 U 2.78, 4 Si 2.78
Tc: 0.7500 0.7500 0.7500  4 Si 2.78, 4 U 2.78

[8]
Here is crystalline CeNi3B at its relaxed geometry from the Alexandria database. Energies are from PBE-GGA.

Crystal system = monoclinic
Calculated volume = 13.81 A^3/atom
Space-group type = Pm, No. 6
Size of the total moment = 0.000 μB/atom
VASP energy = -6.277 eV per atom
ΔH_f (0 K) = -0.2861 eV/atom

Lattice parameters (Å, degrees): 5.1179 5.1964 5.1939 90.00 90.03 90.00
Last column: nearest neighbours and their distance in Å.
Atoms (fractional coordinates):
Ce: 0.0000 0.0000 0.0000  7 Ni 2.67-2.98, 2 B 2.87-2.95
Ce: 0.4982 0.5000 0.2853  7 Ni 2.67-2.98, 2 B 2.88-2.96
Ni: 0.1005 0.5000 0.9369  1 B 1.94
Ni: 0.4680 0.2423 0.7588  2 B 2.00-2.10
Ni: 0.4680 0.7577 0.7588  2 B 2.00-2.10
Ni: 0.5982 0.0000 0.3445  1 B 1.94
Ni: 0.9659 0.2564 0.5258  2 B 2.00-2.10
Ni: 0.9659 0.7436 0.5258  2 B 2.00-2.10
B: 0.2578 0.0000 0.5087  5 Ni 1.94-2.10
B: 0.7585 0.5000 0.7764  5 Ni 1.94-2.10

[9]
Here is crystalline ErHfRhAu at its relaxed geometry from the Alexandria database. Energies are from PBE-GGA.

Crystal system = cubic
Calculated volume = 19.78 A^3/atom
Space-group type = F-43m, No. 216
Size of the total moment = 0.000 μB/atom
VASP energy = -6.973 eV per atom
ΔH_f (0 K) = -0.6869 eV/atom

Lattice parameters (Å, degrees): 4.8190 4.8190 4.8190 60.00 60.00 60.00
Last column: nearest neighbours and their distance in Å.
Atoms (fractional coordinates):
Er: 0.0000 0.0000 0.0000  4 Rh 2.95, 4 Au 2.95
Hf: 0.5000 0.5000 0.5000  4 Rh 2.95, 4 Au 2.95
Rh: 0.7500 0.7500 0.7500  4 Hf 2.95, 4 Er 2.95
Au: 0.2500 0.2500 0.2500  4 Hf 2.95, 4 Er 2.95

[10]
Here is crystalline NdMg6Cu2 at its relaxed geometry from the Alexandria database. Energies are from PBE-GGA.

Crystal system = monoclinic
Calculated volume = 22.51 A^3/atom
Space-group type = C2/m, No. 12
Size of the total moment = 0.000 μB/atom
VASP energy = -2.520 eV per atom
ΔH_f (0 K) = -0.0173 eV/atom

Lattice parameters (Å, degrees): 6.9562 6.9562 4.7476 109.72 109.72 78.37
Last column: nearest neighbours and their distance in Å.
Atoms (fractional coordinates):
Nd: 0.0000 0.0000 0.0000  2 Cu 2.82
Mg: 0.1279 0.4572 0.7925  3 Cu 2.78-3.06, 4 Mg 2.89-3.10
Mg: 0.3064 0.6936 0.5000  2 Cu 2.66
Mg: 0.4572 0.1279 0.7925  3 Cu 2.78-3.06, 4 Mg 2.89-3.10
Mg: 0.5428 0.8721 0.2075  3 Cu 2.78-3.06, 4 Mg 2.89-3.10
Mg: 0.6936 0.3064 0.5000  2 Cu 2.66
Mg: 0.8721 0.5428 0.2075  3 Cu 2.78-3.06, 4 Mg 2.89-3.10
Cu: 0.2901 0.2901 0.2903  6 Mg 2.66-2.78, 1 Nd 2.82
Cu: 0.7099 0.7099 0.7097  6 Mg 2.66-2.78, 1 Nd 2.82

Q: The highest VASP energy belongs to which entry?
A: NdMg6Cu2

Q: size of the total moment of number 4 (Ce4GeAsSe2)?
A: 0.422 μB/atom

Q: The highest calculated volume belongs to which entry?
A: ScTePdI2